This record from Alexandria via LeMat-Bulk describes a relaxed CoCuMo2 crystal. The functional is GGA-PBE.

Cell lengths 3.7586, 3.7586, 3.8298 Å; angles 90.00, 90.00, 90.00 degrees
Fractional positions:
Co 0.0000 0.0000 0.0000
Cu 0.5000 0.5000 0.0000
Mo 0.0000 0.5000 0.5000
Mo 0.5000 0.0000 0.5000

DFT formation energy in eV per formula unit: 0.74
Total magnetic moment in μB per formula unit: 0.97
Calculated volume in Å³ per atom: 13.53
Distance to the lowest polymorph of the same formula in meV/atom: 48.2
Total energy in hartree per atom: -0.2952